Record 1
# TiH2Cl8 | Alexandria via LeMat-Bulk | PBE | optimized geometry
data_TiH2Cl8
_chemical_formula_sum 'Ti1 H2 Cl8'
_cell_length_a 8.690
_cell_length_b 8.690
_cell_length_c 5.271
_cell_angle_alpha 95.53
_cell_angle_beta 95.53
_cell_angle_gamma 57.59
_space_group_name_H-M_alt 'P 1'
_space_group_IT_number 1
loop_
_space_group_symop_operation_xyz
'x,y,z'
loop_
_atom_site_label
_atom_site_type_symbol
_atom_site_fract_x
_atom_site_fract_y
_atom_site_fract_z
Ti1 Ti 0.000 0.000 0.000
H1 H 0.262 0.262 0.933
H2 H 0.738 0.738 0.067
Cl1 Cl 0.140 0.140 0.203
Cl2 Cl 0.155 0.750 0.273
Cl3 Cl 0.250 0.845 0.727
Cl4 Cl 0.330 0.330 0.806
Cl5 Cl 0.670 0.670 0.194
Cl6 Cl 0.750 0.155 0.273
Cl7 Cl 0.845 0.250 0.727
Cl8 Cl 0.860 0.860 0.797
# Fermi-level density of states: 0.011 states/eV/atom
# Total energy: -3.4137 eV/atom

Record 2
# Ga2HgSI | Alexandria via LeMat-Bulk | PBE | optimized geometry
data_Ga2HgSI
_chemical_formula_sum 'Ga2 Hg1 S1 I1'
_cell_length_a 6.040
_cell_length_b 6.040
_cell_length_c 5.732
_cell_angle_alpha 90.00
_cell_angle_beta 90.00
_cell_angle_gamma 90.00
_space_group_name_H-M_alt 'P 1'
_space_group_IT_number 1
loop_
_space_group_symop_operation_xyz
'x,y,z'
loop_
_atom_site_label
_atom_site_type_symbol
_atom_site_fract_x
_atom_site_fract_y
_atom_site_fract_z
Ga1 Ga 0.000 0.500 0.000
Ga2 Ga 0.500 0.000 0.000
Hg1 Hg 0.000 0.000 0.500
S1 S 0.500 0.500 0.500
I1 I 0.000 0.000 0.000
# Fermi-level density of states: 0.861 states/eV/atom
# Uncorrected formation energy: 0.6661 eV per atom

Record 3
# NpIF4 | Alexandria via LeMat-Bulk | PBE | optimized geometry
data_NpIF4
_chemical_formula_sum 'Np2 I2 F8'
_cell_length_a 7.207
_cell_length_b 7.207
_cell_length_c 6.449
_cell_angle_alpha 96.77
_cell_angle_beta 96.77
_cell_angle_gamma 49.55
_space_group_name_H-M_alt 'P 1'
_space_group_IT_number 1
loop_
_space_group_symop_operation_xyz
'x,y,z'
loop_
_atom_site_label
_atom_site_type_symbol
_atom_site_fract_x
_atom_site_fract_y
_atom_site_fract_z
Np1 Np 0.057 0.057 0.289
Np2 Np 0.943 0.943 0.711
I1 I 0.327 0.327 0.691
I2 I 0.673 0.673 0.309
F1 F 0.120 0.731 0.373
F2 F 0.194 0.194 0.172
F3 F 0.202 0.798 0.000
F4 F 0.269 0.880 0.627
F5 F 0.731 0.120 0.373
F6 F 0.798 0.202 0.000
F7 F 0.806 0.806 0.828
F8 F 0.880 0.269 0.627
# Fermi-level density of states: 0.993 states/eV/atom
# Uncorrected formation energy: -2.5431 eV per atom

Record 4
# CaSm14Y | Alexandria via LeMat-Bulk | PBE | optimized geometry
data_CaSm14Y
_chemical_formula_sum 'Ca1 Sm14 Y1'
_cell_length_a 11.669
_cell_length_b 7.381
_cell_length_c 7.381
_cell_angle_alpha 60.06
_cell_angle_beta 90.00
_cell_angle_gamma 90.00
_space_group_name_H-M_alt 'P 1'
_space_group_IT_number 1
loop_
_space_group_symop_operation_xyz
'x,y,z'
loop_
_atom_site_label
_atom_site_type_symbol
_atom_site_fract_x
_atom_site_fract_y
_atom_site_fract_z
Ca1 Ca 0.000 0.000 0.000
Sm1 Sm 0.000 0.501 0.998
Sm2 Sm 0.000 0.998 0.501
Sm3 Sm 0.248 0.667 0.667
Sm4 Sm 0.252 0.170 0.170
Sm5 Sm 0.252 0.170 0.662
Sm6 Sm 0.252 0.662 0.170
Sm7 Sm 0.500 0.000 0.500
Sm8 Sm 0.500 0.001 0.001
Sm9 Sm 0.500 0.500 0.000
Sm10 Sm 0.500 0.501 0.501
Sm11 Sm 0.748 0.170 0.170
Sm12 Sm 0.748 0.170 0.662
Sm13 Sm 0.748 0.662 0.170
Sm14 Sm 0.752 0.667 0.667
Y1 Y 0.000 0.501 0.501
# ΔE_f: 0.040 eV per atom
# Fermi-level density of states: 1.663 states/eV/atom

Record 5
# AsSe2BrO | Alexandria via LeMat-Bulk | PBE | optimized geometry
data_AsSe2BrO
_chemical_formula_sum 'As1 Se2 Br1 O1'
_cell_length_a 4.144
_cell_length_b 4.144
_cell_length_c 6.011
_cell_angle_alpha 90.00
_cell_angle_beta 90.00
_cell_angle_gamma 90.00
_space_group_name_H-M_alt 'P 1'
_space_group_IT_number 1
loop_
_space_group_symop_operation_xyz
'x,y,z'
loop_
_atom_site_label
_atom_site_type_symbol
_atom_site_fract_x
_atom_site_fract_y
_atom_site_fract_z
As1 As 0.000 0.000 0.000
Se1 Se 0.000 0.500 0.500
Se2 Se 0.500 0.000 0.500
Br1 Br 0.500 0.500 0.000
O1 O 0.500 0.500 0.500
# Fermi-level density of states: 0.650 states/eV/atom
# Uncorrected formation energy: 0.4978 eV per atom
# Energy relative to the lowest polymorph listed for this composition: 0 meV/atom

Record 6
# GeTeIr | Alexandria via LeMat-Bulk | PBE | optimized geometry
data_GeTeIr
_chemical_formula_sum 'Ge4 Te4 Ir4'
_cell_length_a 6.480
_cell_length_b 6.429
_cell_length_c 6.556
_cell_angle_alpha 90.00
_cell_angle_beta 114.60
_cell_angle_gamma 90.00
_space_group_name_H-M_alt 'P 1'
_space_group_IT_number 1
loop_
_space_group_symop_operation_xyz
'x,y,z'
loop_
_atom_site_label
_atom_site_type_symbol
_atom_site_fract_x
_atom_site_fract_y
_atom_site_fract_z
Ge1 Ge 0.147 0.150 0.332
Ge2 Ge 0.147 0.350 0.832
Ge3 Ge 0.853 0.650 0.168
Ge4 Ge 0.853 0.850 0.668
Te1 Te 0.340 0.622 0.634
Te2 Te 0.340 0.878 0.134
Te3 Te 0.660 0.122 0.866
Te4 Te 0.660 0.378 0.366
Ir1 Ir 0.220 0.008 0.707
Ir2 Ir 0.220 0.492 0.207
Ir3 Ir 0.780 0.508 0.793
Ir4 Ir 0.780 0.992 0.293
# Uncorrected formation energy: -0.4101 eV per atom

Record 7
# CsMgZn2Pd | Alexandria via LeMat-Bulk | PBE | optimized geometry
data_CsMgZn2Pd
_chemical_formula_sum 'Cs1 Mg1 Zn2 Pd1'
_cell_length_a 5.133
_cell_length_b 5.133
_cell_length_c 5.171
_cell_angle_alpha 90.00
_cell_angle_beta 90.00
_cell_angle_gamma 90.00
_space_group_name_H-M_alt 'P 1'
_space_group_IT_number 1
loop_
_space_group_symop_operation_xyz
'x,y,z'
loop_
_atom_site_label
_atom_site_type_symbol
_atom_site_fract_x
_atom_site_fract_y
_atom_site_fract_z
Cs1 Cs 0.000 0.000 0.000
Mg1 Mg 0.500 0.500 0.000
Zn1 Zn 0.000 0.500 0.500
Zn2 Zn 0.500 0.000 0.500
Pd1 Pd 0.500 0.500 0.500
# ΔE_f: -0.120 eV per atom
# Fermi-level density of states: 0.299 states/eV/atom

Record 8
# DyNi3Sn2 | Alexandria via LeMat-Bulk | PBE | optimized geometry
data_DyNi3Sn2
_chemical_formula_sum 'Dy3 Ni9 Sn6'
_cell_length_a 9.529
_cell_length_b 9.529
_cell_length_c 4.063
_cell_angle_alpha 90.00
_cell_angle_beta 90.00
_cell_angle_gamma 120.00
_space_group_name_H-M_alt 'P 1'
_space_group_IT_number 1
loop_
_space_group_symop_operation_xyz
'x,y,z'
loop_
_atom_site_label
_atom_site_type_symbol
_atom_site_fract_x
_atom_site_fract_y
_atom_site_fract_z
Dy1 Dy 0.000 0.000 0.000
Dy2 Dy 0.333 0.667 0.500
Dy3 Dy 0.667 0.333 0.500
Ni1 Ni 0.000 0.500 0.000
Ni2 Ni 0.185 0.370 0.000
Ni3 Ni 0.185 0.815 0.000
Ni4 Ni 0.370 0.185 0.000
Ni5 Ni 0.500 0.000 0.000
Ni6 Ni 0.500 0.500 0.000
Ni7 Ni 0.630 0.815 0.000
Ni8 Ni 0.815 0.185 0.000
Ni9 Ni 0.815 0.630 0.000
Sn1 Sn 0.000 0.324 0.500
Sn2 Sn 0.000 0.676 0.500
Sn3 Sn 0.324 0.000 0.500
Sn4 Sn 0.324 0.324 0.500
Sn5 Sn 0.676 0.000 0.500
Sn6 Sn 0.676 0.676 0.500
# ΔE_f: -0.343 eV per atom
# Fermi-level density of states: 0.788 states/eV/atom